Entry 1:
A relaxed Ru3WAu crystal, computed with PBE.

Values from the calculation:
- E_form: 2.6510 eV per atom
- Total magnetic moment: 2.1 μB per cell

Lattice parameters (Å, degrees): 4.7516 4.7516 4.7516 90.00 90.00 90.00
Closest atoms and distances in Å follow each position.
Atoms (fractional coordinates):
1 W 0.5000 0.5000 0.5000  12 Ru 3.36
2 Ru 0.0000 0.0000 0.5000  2 Au 2.38
3 Ru 0.0000 0.5000 0.0000  2 Au 2.38
4 Ru 0.5000 0.0000 0.0000  2 Au 2.38
5 Au 0.0000 0.0000 0.0000  6 Ru 2.38



Entry 2:
A relaxed RuWAu2 crystal, computed with PBE.

Values from the calculation:
- E_form: 0.4691 eV per atom
- Total magnetic moment: 1.0 μB per cell

Lattice parameters (Å, degrees): 2.7814 2.7814 8.4476 90.00 90.00 90.00
Closest atoms and distances in Å follow each position.
Atoms (fractional coordinates):
1 Au 0.0000 0.0000 0.0014  4 Au 2.78, 4 Ru 2.88, 4 W 2.89
2 Au 0.0000 0.0000 0.4986  4 Au 2.78, 4 Ru 2.88, 4 W 2.89
3 W 0.5000 0.5000 0.7500  4 W 2.78, 8 Au 2.89
4 Ru 0.5000 0.5000 0.2500  4 Ru 2.78, 8 Au 2.88



Entry 3:
A relaxed RuWAu2 crystal, computed with PBE.

Values from the calculation:
- E_form: 0.1673 eV per atom
- Total magnetic moment: 0.0 μB per cell

Lattice parameters (Å, degrees): 2.8500 2.8500 8.1762 90.00 90.00 90.00
Closest atoms and distances in Å follow each position.
Atoms (fractional coordinates):
1 Ru 0.0000 0.0000 0.5220  4 W 2.63, 4 Ru 2.85, 4 Au 2.93
2 W 0.5000 0.5000 0.7289  4 Ru 2.63, 4 W 2.85, 4 Au 2.92
3 Au 0.0000 0.0000 0.9870  8 Au 2.85-3.02, 4 W 2.92
4 Au 0.5000 0.5000 0.2622  8 Au 2.85-3.02, 4 Ru 2.93



Entry 4:
A relaxed RuWAu2 crystal, computed with PBE.

Values from the calculation:
- E_form: 0.3853 eV per atom
- Total magnetic moment: 0.4 μB per cell

Lattice parameters (Å, degrees): 5.0241 5.0241 4.7890 80.53 80.53 33.10
Closest atoms and distances in Å follow each position.
Atoms (fractional coordinates):
1 Au 0.9992 0.9992 0.0018  6 Au 2.78-2.86, 3 Ru 2.87-2.89, 3 W 2.87
2 Au 0.5008 0.5008 0.4982  6 Au 2.78-2.86, 3 Ru 2.87-2.89, 3 W 2.87
3 W 0.2500 0.2500 0.2500  4 Ru 2.79, 2 W 2.86, 6 Au 2.87
4 Ru 0.7500 0.7500 0.7500  4 W 2.79, 2 Ru 2.86, 6 Au 2.87-2.89



Entry 5:
A relaxed RuWAu2 crystal, computed with PBE.

Values from the calculation:
- E_form: 0.4030 eV per atom
- Total magnetic moment: 0.0 μB per cell

Lattice parameters (Å, degrees): 2.8529 4.8090 5.7390 55.71 90.00 90.00
Closest atoms and distances in Å follow each position.
Atoms (fractional coordinates):
1 Ru 0.5000 0.5000 0.5000  4 W 2.80, 2 Ru 2.85, 6 Au 2.87-2.88
2 W 0.0000 0.0000 0.5000  4 Ru 2.80, 2 W 2.85, 6 Au 2.87-2.88
3 Au 0.0000 0.0000 0.0000  6 Au 2.80-2.85, 2 W 2.87, 4 Ru 2.88
4 Au 0.5000 0.5000 0.0000  6 Au 2.80-2.85, 2 Ru 2.87, 4 W 2.88



Entry 6:
A relaxed Ru2WAu crystal, computed with PBE.

Values from the calculation:
- E_form: 0.4192 eV per atom
- Total magnetic moment: 0.6 μB per cell

Lattice parameters (Å, degrees): 3.3660 3.3660 5.6357 90.00 90.00 90.00
Closest atoms and distances in Å follow each position.
Atoms (fractional coordinates):
1 Ru 0.0000 0.0000 0.0277  1 W 2.44, 4 Ru 2.71
2 Ru 0.5000 0.5000 0.2586  4 W 2.64, 4 Ru 2.71, 2 Au 2.79-2.85
3 W 0.0000 0.0000 0.4603  5 Ru 2.44-2.64
4 Au 0.5000 0.5000 0.7534  6 Ru 2.79-2.85, 4 W 2.90



Entry 7:
A relaxed RuWAu2 crystal, computed with PBE.

Values from the calculation:
- E_form: 0.2358 eV per atom
- Total magnetic moment: 0.0 μB per cell

Lattice parameters (Å, degrees): 2.8856 3.8745 5.8700 90.00 90.00 90.00
Closest atoms and distances in Å follow each position.
Atoms (fractional coordinates):
1 Au 0.5000 0.5000 0.2539  1 W 2.77, 6 Au 2.85-2.89, 4 Ru 2.89
2 Au 0.0000 0.0000 0.9951  1 Ru 2.76, 6 Au 2.85-2.89, 4 W 2.89
3 Ru 0.0000 0.0000 0.5256  4 W 2.69, 5 Au 2.76-2.89, 2 Ru 2.89
4 W 0.5000 0.5000 0.7255  4 Ru 2.69, 5 Au 2.77-2.89, 2 W 2.89



Entry 8:
A relaxed Ru2WAu crystal, computed with PBE.

Values from the calculation:
- E_form: 0.2122 eV per atom
- Total magnetic moment: 0.0 μB per cell

Lattice parameters (Å, degrees): 4.7249 4.7249 4.7249 129.64 129.64 73.98
Closest atoms and distances in Å follow each position.
Atoms (fractional coordinates):
1 Ru 0.5000 0.5000 0.0000  4 W 2.76, 4 Au 2.76, 4 Ru 2.84
2 Ru 0.0000 0.0000 0.0000  4 W 2.76, 4 Au 2.76, 4 Ru 2.84
3 W 0.2500 0.7500 0.5000  8 Ru 2.76, 4 Au 2.84
4 Au 0.7500 0.2500 0.5000  8 Ru 2.76, 4 W 2.84



What is the total magnetic moment in the seventh record? 0.0 μB per cell



Which of these has the highest total magnetic moment? Ru3WAu



Which value of E_form does entry 5 give? 0.4030 eV per atom